VASP calculation (PBE) on an optimized crystal structure of Sr5Al2Sn.

Structure (CIF):
```
data_Sr5Al2Sn
_cell_length_a 8.589
_cell_length_b 8.589
_cell_length_c 16.211
_cell_angle_alpha 90.00
_cell_angle_beta 90.00
_cell_angle_gamma 90.00
_space_group_name_H-M_alt 'I 4/m c m'
_space_group_IT_number 140
_space_group_name_Hall '-I 4 2c'
loop_
_atom_site_label
_atom_site_fract_x
_atom_site_fract_y
_atom_site_fract_z
Sr1 0.000 0.000 0.000
Sr2 0.178 0.322 0.143
Al1 0.107 0.393 0.500
Sn1 0.000 0.000 0.250
```

Computed properties:
**Energy relative to the elements**: -239 kJ/mol of formula units
**Uncorrected energy**: -2.80 eV/atom
**Size of the total moment**: 0.7 μB/f.u.
**Crystal system**: tetragonal
**DOS at the Fermi energy**: 27.91 states/eV per cell